VASP calculation (PBE+U) on CoPdO4 after structural relaxation.

abc: 4.5430 5.3057 6.0622
angles: 125.36 90.00 90.00
Closest atoms and distances in Å follow each position.
Sites, in units of the cell vectors:
Co (0.5000, 0.5000, 0.0000)  6 O 1.87-1.93
Co (0.0000, 0.0000, 0.0000)  6 O 1.87-1.93
Pd (0.0000, 0.0000, 0.5000)  6 O 2.00-2.03
Pd (0.5000, 0.5000, 0.5000)  6 O 2.00-2.03
O (0.6760, 0.2699, 0.1224)  2 Co 1.88-1.93, 1 Pd 2.03
O (0.8240, 0.7699, 0.1224)  2 Co 1.88-1.93, 1 Pd 2.03
O (0.3608, 0.7365, 0.3561)  1 Co 1.87, 2 Pd 2.00
O (0.8608, 0.7635, 0.6439)  1 Co 1.87, 2 Pd 2.00
O (0.1392, 0.2365, 0.3561)  1 Co 1.87, 2 Pd 2.00
O (0.6392, 0.2635, 0.6439)  1 Co 1.87, 2 Pd 2.00
O (0.1760, 0.2301, 0.8776)  2 Co 1.88-1.93, 1 Pd 2.03
O (0.3240, 0.7301, 0.8776)  2 Co 1.88-1.93, 1 Pd 2.03

Calculated values
The energy comes out at -5.49 eV per atom.